No. 1
{
  "formula": "SbPdI2Br",
  "functional": "PBEsol",
  "state": "optimized geometry",
  "cell": [[5.428, 0.000, 0.000], [0.000, 5.750, 0.000], [0.000, 0.000, 5.750]],
  "species": ["I", "I", "Sb", "Br", "Pd"],
  "fractional_positions": [[0.000, 0.000, 0.500], [0.000, 0.500, 0.000], [0.500, 0.000, 0.000], [0.000, 0.000, 0.000], [0.500, 0.500, 0.500]],
  "crystal_system": "tetragonal",
  "volume_a3_per_cell": 179,
  "formation_energy_uncorrected_ev_per_atom": 1.08
}

=====

No. 2
{
  "formula": "FeP2",
  "functional": "PBEsol",
  "state": "optimized geometry",
  "cell": [[-0.761, -1.002, -2.367], [4.385, 1.158, -1.901], [1.965, -5.004, 1.486]],
  "species": ["P", "P", "P", "P", "Fe", "Fe"],
  "fractional_positions": [[0.500, 0.671, 0.133], [0.500, 0.329, 0.867], [0.000, 0.171, 0.367], [0.000, 0.829, 0.633], [0.500, 0.500, 0.500], [0.000, 0.000, 0.000]],
  "crystal_system": "orthorhombic",
  "volume_a3_per_cell": 74,
  "ef_ev_per_atom": -0.659
}

=====

No. 3
{
  "formula": "ReTc8",
  "functional": "PBEsol",
  "state": "optimized geometry",
  "cell": [[-1.131, -1.488, -3.344], [4.790, -0.234, -3.711], [0.671, -6.021, 0.257]],
  "species": ["Re", "Tc", "Tc", "Tc", "Tc", "Tc", "Tc", "Tc", "Tc"],
  "fractional_positions": [[0.000, 0.000, 0.000], [0.334, 0.666, 0.666], [0.666, 0.334, 0.334], [0.000, 0.666, 0.334], [0.333, 0.334, 0.000], [0.667, 0.000, 0.666], [0.000, 0.334, 0.666], [0.333, 0.000, 0.334], [0.667, 0.666, 0.000]],
  "crystal_system": "tetragonal",
  "volume_a3_per_cell": 127,
  "ef_ev_per_atom": 0.072
}

=====

No. 4
{
  "formula": "CoBr",
  "functional": "PBEsol",
  "state": "optimized geometry",
  "cell": [[3.401, 0.000, 0.000], [0.000, 3.376, 0.000], [0.000, -1.688, 2.924]],
  "species": ["Co", "Br"],
  "fractional_positions": [[0.500, 0.333, 0.667], [0.000, 0.000, 0.000]],
  "crystal_system": "hexagonal",
  "volume_a3_per_cell": 34,
  "formation_energy_uncorrected_ev_per_atom": 0.57
}

=====

No. 5
{
  "formula": "Sc2PbBr",
  "functional": "PBEsol",
  "state": "optimized geometry",
  "cell": [[-0.074, 3.251, -0.749], [-3.292, 0.051, 0.543], [1.240, 1.723, 7.361]],
  "species": ["Br", "Pb", "Sc", "Sc"],
  "fractional_positions": [[0.500, 0.500, 0.000], [0.500, 0.500, 0.500], [0.000, 0.000, 0.763], [0.000, 0.000, 0.237]],
  "crystal_system": "tetragonal",
  "volume_a3_per_cell": 85,
  "formation_energy_uncorrected_ev_per_atom": -0.58
}

=====

No. 6
{
  "formula": "InWBr",
  "functional": "PBEsol",
  "state": "optimized geometry",
  "cell": [[2.989, 0.000, 0.000], [1.494, 2.676, 0.000], [1.494, 0.000, 7.899]],
  "species": ["Br", "W", "In"],
  "fractional_positions": [[0.973, 0.000, 0.053], [0.343, 0.000, 0.314], [0.684, 0.000, 0.632]],
  "crystal_system": "orthorhombic",
  "volume_a3_per_cell": 63,
  "formation_energy_uncorrected_ev_per_atom": 0.65
}

=====

No. 7
{
  "formula": "Cs2PdI6",
  "functional": "PBEsol",
  "state": "optimized geometry",
  "cell": [[-6.435, -3.725, -2.674], [0.489, -7.521, -2.373], [-3.327, -5.727, 4.309]],
  "species": ["Cs", "Cs", "I", "I", "I", "I", "I", "I", "Pd"],
  "fractional_positions": [[0.750, 0.750, 0.750], [0.250, 0.250, 0.250], [0.240, 0.760, 0.760], [0.240, 0.240, 0.760], [0.240, 0.760, 0.240], [0.760, 0.760, 0.240], [0.760, 0.240, 0.760], [0.760, 0.240, 0.240], [0.000, 0.000, 0.000]],
  "crystal_system": "cubic",
  "volume_a3_per_cell": 349,
  "formation_energy_uncorrected_ev_per_atom": -0.80
}

=====

No. 8
{
  "formula": "Ni2AgCl",
  "functional": "PBEsol",
  "state": "optimized geometry",
  "cell": [[2.831, 0.000, 0.000], [0.000, 4.235, 0.000], [-1.415, -2.117, 5.080]],
  "species": ["Ag", "Cl", "Ni", "Ni"],
  "fractional_positions": [[0.535, 0.535, 0.071], [0.309, 0.809, 0.619], [0.981, 0.981, 0.963], [0.674, 0.174, 0.348]],
  "crystal_system": "orthorhombic",
  "volume_a3_per_cell": 61,
  "formation_energy_uncorrected_ev_per_atom": 0.37
}